DFT (PBE) results for a relaxed TbDyCoAg crystal.

Magnetization ... 0.67 μB/cell
Space-group type ... P4mm, No. 99
Offset from the most stable computed form ... 0.000 eV/atom
Energy relative to the elements ... -0.2345 eV per atom
ρ ... 9.41 g/cm³

Cell: 3.3819 3.3819 7.5327 Å, 90.00 90.00 90.00°
With the nearest neighbours (Å) after each atom.
Fractional coordinates of all 4 atoms:
Tb: 0.0000 0.0000 0.0000  4 Co 2.91, 4 Ag 3.20
Dy: 0.0000 0.0000 0.5608  4 Co 2.90, 4 Ag 3.18
Co: 0.5000 0.5000 0.7790  4 Dy 2.90, 4 Tb 2.91
Ag: 0.5000 0.5000 0.2828  4 Dy 3.18, 4 Tb 3.20, 4 Ag 3.38



DFT (PBE) results for a relaxed TbDyCoAg crystal.

Magnetization ... 0.43 μB/cell
Space-group type ... F-43m, No. 216
Offset from the most stable computed form ... 0.063 eV/atom
Energy relative to the elements ... -0.1719 eV per atom
ρ ... 9.44 g/cm³

Cell: 4.9523 4.9523 4.9523 Å, 60.00 60.00 60.00°
With the nearest neighbours (Å) after each atom.
Fractional coordinates of all 4 atoms:
Tb: 0.0000 0.0000 0.0000  4 Co 3.03, 4 Ag 3.03
Dy: 0.5000 0.5000 0.5000  4 Co 3.03, 4 Ag 3.03
Co: 0.7500 0.7500 0.7500  4 Tb 3.03, 4 Dy 3.03
Ag: 0.2500 0.2500 0.2500  4 Tb 3.03, 4 Dy 3.03



DFT (PBE) results for a relaxed DyYCoAg crystal.

Magnetization ... 0.42 μB/cell
Space-group type ... F-43m, No. 216
Energy relative to the elements ... -0.1758 eV per atom
ρ ... 8.10 g/cm³

Cell: 4.9498 4.9498 4.9498 Å, 60.00 60.00 60.00°
With the nearest neighbours (Å) after each atom.
Fractional coordinates of all 4 atoms:
Dy: 0.0000 0.0000 0.0000  4 Ag 3.03, 4 Co 3.03
Y: 0.5000 0.5000 0.5000  4 Ag 3.03, 4 Co 3.03
Co: 0.2500 0.2500 0.2500  4 Dy 3.03, 4 Y 3.03
Ag: 0.7500 0.7500 0.7500  4 Dy 3.03, 4 Y 3.03



DFT (PBE) results for a relaxed DyZrCoAg crystal.

Magnetization ... 0.25 μB/cell
Space-group type ... F-43m, No. 216
Energy relative to the elements ... -0.0711 eV per atom
ρ ... 8.80 g/cm³

Cell: 4.8237 4.8237 4.8237 Å, 60.00 60.00 60.00°
With the nearest neighbours (Å) after each atom.
Fractional coordinates of all 4 atoms:
Dy: 0.0000 0.0000 0.0000  4 Co 2.95, 4 Ag 2.95
Zr: 0.5000 0.5000 0.5000  4 Ag 2.95, 4 Co 2.95
Co: 0.2500 0.2500 0.2500  4 Zr 2.95, 4 Dy 2.95
Ag: 0.7500 0.7500 0.7500  4 Zr 2.95, 4 Dy 2.95